VASP calculation (GGA-PBE) on an optimized crystal structure of Tb2TiAl3Pt4.

Output
The formation energy comes out at -1.066 eV per atom. The calculated volume is 18.8 Å³/atom.

Lattice parameters (Å, degrees): 4.151 4.151 10.881 90.00 90.00 90.00
Space group P-4m2 (No. 115)
One atom of each set of equivalent atoms:
Tb 0.000 0.500 0.246 (multiplicity 2)
Ti 0.000 0.000 0.500 (multiplicity 1)
Al 0.000 0.500 0.869 (multiplicity 2)
Al 0.500 0.500 0.500 (multiplicity 1)
Pt 0.000 0.000 0.000 (multiplicity 1)
Pt 0.000 0.500 0.642 (multiplicity 2)
Pt 0.500 0.500 0.000 (multiplicity 1)

***

VASP calculation (GGA-PBE) on an optimized crystal structure of TbTmAlPt.

Output
The formation energy comes out at -0.749 eV per atom. The calculated volume is 22.2 Å³/atom.

Lattice parameters (Å, degrees): 7.079 7.079 7.079 90.00 90.00 90.00
Space group F-43m (No. 216)
One atom of each set of equivalent atoms:
Tb 0.000 0.000 0.000 (multiplicity 4)
Tm 0.000 0.000 0.500 (multiplicity 4)
Al 0.250 0.250 0.750 (multiplicity 4)
Pt 0.250 0.250 0.250 (multiplicity 4)

***

VASP calculation (GGA-PBE) on an optimized crystal structure of Tb4AlZn2Pt.

Output
The formation energy comes out at -0.596 eV per atom. The calculated volume is 22.8 Å³/atom.

Lattice parameters (Å, degrees): 5.0488 5.0488 24.7459 90.00 90.00 120.00
Space group R-3m (No. 166, hexagonal axes)
One atom of each set of equivalent atoms:
Tb 0.0000 0.0000 0.1203 (multiplicity 6)
Tb 0.0000 0.0000 0.3714 (multiplicity 6)
Al 0.0000 0.0000 0.5000 (multiplicity 3)
Zn 0.0000 0.0000 0.2428 (multiplicity 6)
Pt 0.0000 0.0000 0.0000 (multiplicity 3)

***

VASP calculation (GGA-PBE) on an optimized crystal structure of Tb2Al3ZnPt4.

Output
The formation energy comes out at -1.041 eV per atom. The calculated volume is 18.5 Å³/atom.

Lattice parameters (Å, degrees): 4.111 4.111 10.956 90.00 90.00 90.00
Space group P-4m2 (No. 115)
One atom of each set of equivalent atoms:
Tb 0.000 0.500 0.244 (multiplicity 2)
Al 0.000 0.000 0.000 (multiplicity 1)
Al 0.000 0.500 0.632 (multiplicity 2)
Zn 0.500 0.500 0.000 (multiplicity 1)
Pt 0.000 0.000 0.500 (multiplicity 1)
Pt 0.000 0.500 0.856 (multiplicity 2)
Pt 0.500 0.500 0.500 (multiplicity 1)

***

VASP calculation (GGA-PBE) on an optimized crystal structure of Tb2AlZn2Pt5.

Output
The formation energy comes out at -0.899 eV per atom. The calculated volume is 17.5 Å³/atom.

Lattice parameters (Å, degrees): 9.690 9.690 3.726 90.00 90.00 90.00
Space group P4/mbm (No. 127)
One atom of each set of equivalent atoms:
Tb 0.175 0.325 0.000 (multiplicity 4)
Al 0.000 0.000 0.000 (multiplicity 2)
Zn 0.124 0.624 0.000 (multiplicity 4)
Pt 0.000 0.500 0.500 (multiplicity 2)
Pt 0.062 0.800 0.500 (multiplicity 8)

***

VASP calculation (GGA-PBE) on an optimized crystal structure of Tb2Al4Zn3Pt.

Output
The formation energy comes out at -0.551 eV per atom. The calculated volume is 18.6 Å³/atom.

Lattice parameters (Å, degrees): 4.142 4.142 10.826 90.00 90.00 90.00
Space group P-4m2 (No. 115)
One atom of each set of equivalent atoms:
Tb 0.000 0.500 0.250 (multiplicity 2)
Al 0.000 0.000 0.000 (multiplicity 1)
Al 0.000 0.500 0.632 (multiplicity 2)
Al 0.500 0.500 0.000 (multiplicity 1)
Zn 0.000 0.500 0.859 (multiplicity 2)
Zn 0.500 0.500 0.500 (multiplicity 1)
Pt 0.000 0.000 0.500 (multiplicity 1)

***

VASP calculation (GGA-PBE) on an optimized crystal structure of Tb2Al2ZnPt5.

Output
The formation energy comes out at -0.924 eV per atom. The calculated volume is 17.7 Å³/atom.

Lattice parameters (Å, degrees): 9.824 9.824 3.670 90.00 90.00 90.00
Space group P4/mbm (No. 127)
One atom of each set of equivalent atoms:
Tb 0.177 0.323 0.000 (multiplicity 4)
Al 0.122 0.622 0.000 (multiplicity 4)
Zn 0.000 0.000 0.000 (multiplicity 2)
Pt 0.000 0.500 0.500 (multiplicity 2)
Pt 0.064 0.795 0.500 (multiplicity 8)

***

VASP calculation (GGA-PBE) on an optimized crystal structure of TbAl2ZnPt4.

Output
The formation energy comes out at -0.964 eV per atom. The calculated volume is 17.1 Å³/atom.

Lattice parameters (Å, degrees): 4.2813 4.2813 25.8815 90.00 90.00 120.00
Space group R-3m (No. 166, hexagonal axes)
One atom of each set of equivalent atoms:
Tb 0.0000 0.0000 0.0000 (multiplicity 3)
Al 0.0000 0.0000 0.2407 (multiplicity 6)
Zn 0.0000 0.0000 0.5000 (multiplicity 3)
Pt 0.0000 0.0000 0.1327 (multiplicity 6)
Pt 0.0000 0.0000 0.4012 (multiplicity 6)

***

VASP calculation (GGA-PBE) on an optimized crystal structure of TbAlZnPt2.

Output
The formation energy comes out at -0.970 eV per atom. The calculated volume is 18.6 Å³/atom.

Lattice parameters (Å, degrees): 3.915 3.915 12.163 90.00 90.00 90.00
Space group I-4m2 (No. 119)
One atom of each set of equivalent atoms:
Tb 0.000 0.000 0.000 (multiplicity 2)
Al 0.000 0.500 0.250 (multiplicity 2)
Zn 0.000 0.500 0.750 (multiplicity 2)
Pt 0.000 0.000 0.388 (multiplicity 4)

***

VASP calculation (GGA-PBE) on an optimized crystal structure of Tb2ZrAl4Pt3.

Output
The formation energy comes out at -0.927 eV per atom. The calculated volume is 19.6 Å³/atom.

Lattice parameters (Å, degrees): 4.159 4.159 11.362 90.00 90.00 90.00
Space group P-4m2 (No. 115)
One atom of each set of equivalent atoms:
Tb 0.000 0.500 0.240 (multiplicity 2)
Zr 0.000 0.000 0.500 (multiplicity 1)
Al 0.000 0.000 0.000 (multiplicity 1)
Al 0.000 0.500 0.657 (multiplicity 2)
Al 0.500 0.500 0.000 (multiplicity 1)
Pt 0.000 0.500 0.872 (multiplicity 2)
Pt 0.500 0.500 0.500 (multiplicity 1)

***

VASP calculation (GGA-PBE) on an optimized crystal structure of AlTc4Pt.

Output
The formation energy comes out at 0.242 eV per atom. The calculated volume is 15.7 Å³/atom.

Lattice parameters (Å, degrees): 7.216 7.216 7.216 90.00 90.00 90.00
Space group F-43m (No. 216)
One atom of each set of equivalent atoms:
Al 0.000 0.000 0.000 (multiplicity 4)
Tc 0.124 0.124 0.376 (multiplicity 16)
Pt 0.250 0.250 0.750 (multiplicity 4)

***

VASP calculation (GGA-PBE) on an optimized crystal structure of AlTcPt2.

Output
The formation energy comes out at -0.471 eV per atom. The offset from the most stable computed form is 30.4 meV/atom. The calculated volume is 14.9 Å³/atom.

Lattice parameters (Å, degrees): 9.161 2.753 4.863 90.00 102.90 90.00
Space group Cm (No. 8)
One atom of each set of equivalent atoms:
Al 0.000 0.000 0.000 (multiplicity 2)
Tc 0.235 0.500 0.293 (multiplicity 2)
Pt 0.260 0.000 0.799 (multiplicity 2)
Pt 0.490 0.000 0.499 (multiplicity 2)